# 1
PBE-GGA Ba2TiAlI, relaxed; space-group type = No. 123; DOS at the Fermi energy = 15.2 states/eV/f.u.; formation energy without anion corrections = 0.7617 eV per atom; magnetization = 0.2 μB/cell
1.0
6.533 0.000 0.000
0.000 5.774 0.000
0.000 0.000 6.533
Ba Ti Al I
2 1 1 1
direct
0.000 0.000 0.500
0.500 0.000 0.000
0.500 0.500 0.500
0.000 0.000 0.000
0.000 0.500 0.000



# 2
PBE-GGA SiPPb, relaxed; space-group type = No. 216; E above lowest polymorph = 551 meV per atom; DOS at the Fermi energy = 2.0 states/eV/f.u.; formation energy without anion corrections = 0.6252 eV per atom; magnetization = 0.0 μB/cell
1.0
4.627 0.000 0.000
2.313 4.007 0.000
2.313 1.336 3.778
Si P Pb
1 1 1
direct
0.750 0.750 0.750
0.000 0.000 0.000
0.500 0.500 0.500



# 3
PBE-GGA BiSF2, relaxed; space-group type = No. 63; E above lowest polymorph = 0 meV per atom; DOS at the Fermi energy = 2.3 states/eV/f.u.; formation energy without anion corrections = -1.3407 eV per atom; magnetization = 0.2 μB/cell
1.0
4.065 0.000 0.000
-2.032 4.906 0.000
0.000 0.000 7.039
S Bi F
2 2 4
direct
0.034 0.069 0.750
0.966 0.931 0.250
0.262 0.525 0.250
0.738 0.475 0.750
0.680 0.360 0.432
0.680 0.360 0.068
0.320 0.640 0.568
0.320 0.640 0.932



# 4
PBE-GGA DyTmMg2, relaxed; space-group type = No. 225; E above lowest polymorph = 0 meV per atom; DOS at the Fermi energy = 5.9 states/eV/f.u.; ΔH_f (0 K) = -0.07 eV per atom; magnetization = 0.0 μB/cell
1.0
5.332 0.000 0.000
2.666 4.617 0.000
2.666 1.539 4.353
Dy Mg Tm
1 2 1
direct
0.500 0.500 0.500
0.250 0.250 0.250
0.750 0.750 0.750
0.000 0.000 0.000



# 5
PBE-GGA NaCa2AlF8, relaxed; space-group type = No. 10; DOS at the Fermi energy = 0.0 states/eV/f.u.; formation energy without anion corrections = -3.6080 eV per atom; magnetization = 0.1 μB/cell
1.0
4.958 -0.023 -0.003
0.002 4.950 -0.005
0.004 0.007 6.951
F Ca Na Al
8 2 1 1
direct
0.689 0.693 0.500
0.730 0.733 0.000
0.270 0.267 0.000
0.179 0.819 0.191
0.311 0.307 0.500
0.822 0.181 0.191
0.178 0.819 0.809
0.821 0.181 0.809
0.500 0.500 0.754
0.500 0.500 0.246
0.000 0.000 0.500
0.000 0.000 0.000



# 6
PBE-GGA CeThAg, relaxed; space-group type = No. 164; E above lowest polymorph = 70 meV per atom; DOS at the Fermi energy = 5.7 states/eV/f.u.; ΔH_f (0 K) = 0.09 eV per atom; magnetization = 1.4 μB/cell
1.0
3.422 -0.001 0.512
1.776 2.964 -0.174
-0.642 -0.690 16.027
Ce Th Ag
2 2 2
direct
0.019 0.181 0.942
0.471 0.728 0.490
0.170 0.697 0.125
0.320 0.212 0.307
0.644 0.222 0.650
0.846 0.687 0.782



# 7
PBE-GGA EuScZn2, relaxed; space-group type = No. 225; E above lowest polymorph = 67 meV per atom; DOS at the Fermi energy = 4.1 states/eV/f.u.; ΔH_f (0 K) = -0.22 eV per atom; magnetization = 7.0 μB/cell
1.0
-4.727 0.313 -1.637
-1.053 -0.933 -4.811
-2.497 -4.160 -1.257
Zn Sc Eu
2 1 1
direct
0.750 0.750 0.750
0.250 0.250 0.250
0.500 0.500 0.500
0.000 0.000 0.000



# 8
PBE-GGA NaSr2I2, relaxed; space-group type = No. 127; E above lowest polymorph = 133 meV per atom; DOS at the Fermi energy = 3.1 states/eV/f.u.; formation energy without anion corrections = -0.7287 eV per atom; magnetization = 0.0 μB/cell
1.0
-4.035 7.814 4.821
0.803 -4.945 8.688
3.694 1.568 0.551
I Sr Na
4 4 2
direct
0.633 0.867 0.500
0.133 0.633 0.500
0.367 0.133 0.500
0.867 0.367 0.500
0.660 0.160 0.000
0.160 0.340 0.000
0.840 0.660 0.000
0.340 0.840 0.000
0.500 0.500 0.000
0.000 0.000 0.000



What did the seventh record say?
PBE-GGA EuScZn2, relaxed; space-group type = No. 225; E above lowest polymorph = 67 meV per atom; DOS at the Fermi energy = 4.1 states/eV/f.u.; ΔH_f (0 K) = -0.22 eV per atom; magnetization = 7.0 μB/cell
1.0
-4.727 0.313 -1.637
-1.053 -0.933 -4.811
-2.497 -4.160 -1.257
Zn Sc Eu
2 1 1
direct
0.750 0.750 0.750
0.250 0.250 0.250
0.500 0.500 0.500
0.000 0.000 0.000